[1]
The following is a DFT calculation (PBE) of an optimized crystal structure of Zr2FeMoN.

Output
As for the volume: 99.51 Å³/cell. As for the raw total energy: -7.664 eV per atom. As for the formation energy without anion corrections: 6.393 eV per formula unit. For the density of states at the Fermi level, the calculation gives 0.688 states/eV per atom.

```
data_Zr2FeMoN
_chemical_formula_sum 'Zr2 Fe1 Mo1 N1'
_space_group_name_H-M_alt 'P 4/m m m'
_space_group_IT_number 123
_space_group_name_Hall '-P 4 2'
_cell_length_a 4.8413
_cell_length_b 4.8413
_cell_length_c 4.2455
_cell_angle_alpha 90.00
_cell_angle_beta 90.00
_cell_angle_gamma 90.00
loop_
_atom_site_label
_atom_site_fract_x
_atom_site_fract_y
_atom_site_fract_z
Zr1 0.0000 0.5000 0.0000
Fe1 0.0000 0.0000 0.0000
Mo1 0.0000 0.0000 0.5000
N1 0.5000 0.5000 0.5000
```

[2]
The following is a DFT calculation (PBE) of an optimized crystal structure of K2RbPb.

Output
As for the volume: 214.44 Å³/cell. As for the raw total energy: -1.716 eV per atom. For the density of states at the Fermi level, the calculation gives 1.042 states/eV per atom. The calculation puts the formation enthalpy at 0 K at 0.001 eV/atom.

```
data_K2RbPb
_chemical_formula_sum 'K2 Rb1 Pb1'
_space_group_name_H-M_alt 'P 4/m m m'
_space_group_IT_number 123
_space_group_name_Hall '-P 4 2'
_cell_length_a 4.5663
_cell_length_b 4.5663
_cell_length_c 10.2845
_cell_angle_alpha 90.00
_cell_angle_beta 90.00
_cell_angle_gamma 90.00
loop_
_atom_site_label
_atom_site_fract_x
_atom_site_fract_y
_atom_site_fract_z
K1 0.0000 0.0000 0.1830
Rb1 0.5000 0.5000 0.5000
Pb1 0.5000 0.5000 0.0000
```

[3]
The following is a DFT calculation (PBE) of an optimized crystal structure of TbIn4Cl7.

Output
As for the volume: 801.26 Å³/cell. As for the raw total energy: -3.671 eV per atom. As for the formation energy without anion corrections: -15.546 eV per formula unit. For the density of states at the Fermi level, the calculation gives 0.000 states/eV per atom.

```
data_TbIn4Cl7
_chemical_formula_sum 'Tb2 In8 Cl14'
_space_group_name_H-M_alt 'C 1 2/m 1'
_space_group_IT_number 12
_cell_length_a 21.1478
_cell_length_b 5.2613
_cell_length_c 7.5667
_cell_angle_alpha 90.00
_cell_angle_beta 107.88
_cell_angle_gamma 90.00
loop_
_space_group_symop_operation_xyz
'x,y,z'
'-x,-y,-z'
'-x,y,-z'
'x,-y,z'
'x+1/2,y+1/2,z'
'-x+1/2,-y+1/2,-z'
'-x+1/2,y+1/2,-z'
'x+1/2,-y+1/2,z'
loop_
_atom_site_label
_atom_site_fract_x
_atom_site_fract_y
_atom_site_fract_z
Tb1 0.0000 0.0000 0.0000
In1 0.0848 0.5000 0.6264
In2 0.1964 0.5000 0.2462
Cl1 0.0000 0.5000 0.0000
Cl2 0.0813 0.0000 0.3450
Cl3 0.1066 0.0000 0.8824
Cl4 0.2216 0.5000 0.6522
```

[4]
The following is a DFT calculation (PBE) of an optimized crystal structure of Ba2LiCaTl6.

Output
As for the volume: 342.64 Å³/cell. As for the raw total energy: -2.433 eV per atom. For the density of states at the Fermi level, the calculation gives 0.408 states/eV per atom. The calculation puts the formation enthalpy at 0 K at -0.237 eV/atom.

```
data_Ba2LiCaTl6
_chemical_formula_sum 'Ba2 Li1 Ca1 Tl6'
_space_group_name_H-M_alt 'P -1'
_space_group_IT_number 2
_cell_length_a 7.3710
_cell_length_b 7.4093
_cell_length_c 8.1946
_cell_angle_alpha 66.10
_cell_angle_beta 65.44
_cell_angle_gamma 60.47
loop_
_space_group_symop_operation_xyz
'x,y,z'
'-x,-y,-z'
loop_
_atom_site_label
_atom_site_fract_x
_atom_site_fract_y
_atom_site_fract_z
Ba1 0.2252 0.2226 0.3252
Li1 0.0000 0.0000 0.0000
Ca1 0.5000 0.5000 0.5000
Tl1 0.2208 0.6659 0.8562
Tl2 0.2362 0.2328 0.8000
Tl3 0.3241 0.7788 0.1523
```

[5]
The following is a DFT calculation (PBE) of an optimized crystal structure of La3MgZn4.

Output
As for the volume: 596.63 Å³/cell. As for the raw total energy: -2.965 eV per atom. For the density of states at the Fermi level, the calculation gives 0.733 states/eV per atom. The calculation puts the formation enthalpy at 0 K at -0.281 eV/atom.

```
data_La3MgZn4
_chemical_formula_sum 'La9 Mg3 Zn12'
_space_group_name_H-M_alt 'R -3 m'
_space_group_IT_number 166
_space_group_name_Hall '-R 3 2"'
_cell_length_a 5.1392
_cell_length_b 5.1392
_cell_length_c 26.0845
_cell_angle_alpha 90.00
_cell_angle_beta 90.00
_cell_angle_gamma 120.00
loop_
_atom_site_label
_atom_site_fract_x
_atom_site_fract_y
_atom_site_fract_z
La1 0.0000 0.0000 0.0000
La2 0.0000 0.0000 0.2430
Mg1 0.0000 0.0000 0.5000
Zn1 0.0000 0.0000 0.1262
Zn2 0.0000 0.0000 0.3759
```